# PmGa4Pd6

A geometry-optimized PmGa4Pd6 structure (PBE, Alexandria).

Calculated volume (Å³ per cell): 185.3
Crystal system: hexagonal
E_tot (eV/atom): -5.126

Lattice parameters (Å, degrees): 7.3658 7.3658 3.9430 90.00 90.00 120.00
Space group P-6m2 (No. 187)
Asymmetric unit:
Pm 0.0000 0.0000 0.0000 [1 per cell]
Ga 0.3333 0.6667 0.0000 [1 per cell]
Ga 0.3990 0.1995 0.5000 [3 per cell]
Pd 0.1987 0.3974 0.5000 [3 per cell]
Pd 0.5337 0.0675 0.0000 [3 per cell]

# PmGa12Pd6

A geometry-optimized PmGa12Pd6 structure (PBE, Alexandria).

Calculated volume (Å³ per cell): 998.8
Crystal system: trigonal
E_tot (eV/atom): -4.288

Lattice parameters (Å, degrees): 11.3489 11.3489 8.9547 90.00 90.00 120.00
Space group R-3m (No. 166, hexagonal axes)
Asymmetric unit:
Pm 0.0000 0.0000 0.0000 [3 per cell]
Ga 0.0000 0.3899 0.5000 [18 per cell]
Ga 0.0836 0.1672 0.3117 [18 per cell]
Pd 0.0473 0.5237 0.2350 [18 per cell]

# PmGa2Pd7

A geometry-optimized PmGa2Pd7 structure (PBE, Alexandria).

Calculated volume (Å³ per cell): 409.5
Crystal system: orthorhombic
E_tot (eV/atom): -5.003

Lattice parameters (Å, degrees): 7.326 12.178 4.590 90.00 90.00 90.00
Space group Cmmm (No. 65)
Asymmetric unit:
Pm 0.000 0.000 0.000 [2 per cell]
Ga 0.000 0.300 0.500 [4 per cell]
Pd 0.000 0.231 0.000 [4 per cell]
Pd 0.000 0.500 0.500 [2 per cell]
Pd 0.188 0.121 0.500 [8 per cell]

# Pm12GaPd6

A geometry-optimized Pm12GaPd6 structure (PBE, Alexandria).

Calculated volume (Å³ per cell): 1757.6
Crystal system: trigonal
E_tot (eV/atom): -5.209

Lattice parameters (Å, degrees): 13.1868 13.1868 11.6714 90.00 90.00 120.00
Space group R-3 (No. 148, hexagonal axes)
Asymmetric unit:
Pm 0.0244 0.8150 0.3868 [18 per cell]
Pm 0.0338 0.8240 0.8844 [18 per cell]
Ga 0.0000 0.0000 0.0000 [3 per cell]
Pd 0.0370 0.7790 0.6421 [18 per cell]

# Pm3Ga6Pd5

A geometry-optimized Pm3Ga6Pd5 structure (PBE, Alexandria).

Calculated volume (Å³ per cell): 530.4
Crystal system: orthorhombic
E_tot (eV/atom): -4.968

Lattice parameters (Å, degrees): 4.364 13.049 9.315 90.00 90.00 90.00
Space group Pmmn (No. 59, origin choice 2)
Asymmetric unit:
Pm 0.250 0.053 0.249 [4 per cell]
Pm 0.250 0.750 0.250 [2 per cell]
Ga 0.250 0.071 0.593 [4 per cell]
Ga 0.250 0.250 0.039 [2 per cell]
Ga 0.250 0.250 0.426 [2 per cell]
Ga 0.250 0.598 0.979 [4 per cell]
Pd 0.250 0.092 0.871 [4 per cell]
Pd 0.250 0.635 0.531 [4 per cell]
Pd 0.250 0.750 0.792 [2 per cell]

# Pm3Ga4Pd4

A geometry-optimized Pm3Ga4Pd4 structure (PBE, Alexandria).

Calculated volume (Å³ per cell): 452.1
Crystal system: orthorhombic
E above lowest polymorph (kJ per mole of atoms): 0.0
E_tot (eV/atom): -5.093

Lattice parameters (Å, degrees): 3.881 4.393 26.522 90.00 90.00 90.00
Space group Immm (No. 71)
Asymmetric unit:
Pm 0.000 0.000 0.000 [2 per cell]
Pm 0.000 0.500 0.145 [4 per cell]
Ga 0.000 0.000 0.452 [4 per cell]
Ga 0.000 0.500 0.307 [4 per cell]
Pd 0.000 0.000 0.255 [4 per cell]
Pd 0.000 0.500 0.403 [4 per cell]

Q: Which formula does entry 6 have?
A: Pm3Ga4Pd4